[1]
Pr2NdHo2Er | PBE-GGA | optimized geometry

Space-group type   Pmma
Final energy   -4.61 eV per atom

Cell and atoms, written as POSCAR:
```
Pr2NdHo2Er
1.0
-4.570 0.183 -3.405
2.537 -5.478 -3.700
-4.729 -6.249 6.010
Nd Ho Pr Er
2 4 4 2
Direct
0.500 0.257 0.656
0.500 0.757 0.344
0.000 0.758 0.164
0.000 0.258 0.836
0.500 0.258 0.331
0.500 0.758 0.669
0.500 0.508 0.000
0.000 0.758 0.822
0.000 0.258 0.178
0.500 0.008 0.000
0.000 0.008 0.500
0.000 0.508 0.500
```

[2]
Pr2NdHoEr5 | PBE-GGA | optimized geometry

Space-group type   I4/mcm
Final energy   -4.37 eV per atom

Cell and atoms, written as POSCAR:
```
Pr2NdHoEr5
1.0
-7.587 -3.584 2.304
3.812 -3.609 6.939
0.191 9.894 -0.414
Pr Ho Nd Er
4 2 2 10
Direct
0.118 0.382 0.000
0.618 0.118 0.000
0.382 0.882 0.000
0.882 0.618 0.000
0.250 0.750 0.500
0.750 0.250 0.500
0.750 0.750 0.500
0.250 0.250 0.500
0.428 0.350 0.278
0.150 0.072 0.722
0.000 0.000 0.000
0.850 0.928 0.278
0.928 0.428 0.278
0.350 0.850 0.278
0.572 0.650 0.722
0.072 0.572 0.722
0.500 0.500 0.000
0.650 0.150 0.722
```

[3]
PrNdHoEr | PBE-GGA | optimized geometry

Space-group type   I-4m2
Distance to the lowest polymorph of the same formula   0 meV per atom

Cell and atoms, written as POSCAR:
```
PrNdHoEr
1.0
-2.862 -4.107 1.014
-0.513 -0.880 -5.012
5.868 -0.399 2.079
Ho Er Nd Pr
1 1 1 1
Direct
0.195 0.695 0.391
0.446 0.446 0.891
0.945 0.945 0.891
0.696 0.196 0.392
```

[4]
Pr3NdHo2Er6 | PBE-GGA | optimized geometry

Space-group type   C2/m
Final energy   -4.62 eV per atom

Cell and atoms, written as POSCAR:
```
Pr3NdHo2Er6
1.0
6.203 0.000 0.005
-3.100 5.373 0.005
-1.039 -1.800 11.589
Er Pr Ho Nd
6 3 2 1
Direct
0.917 0.584 0.753
0.749 0.749 0.247
0.083 0.416 0.247
0.251 0.251 0.753
0.416 0.083 0.247
0.584 0.917 0.753
0.500 0.500 0.500
0.167 0.833 0.500
0.833 0.167 0.500
0.667 0.333 0.000
0.333 0.667 0.000
0.000 0.000 0.000
```

[5]
PrNd6HoEr2 | PBE-GGA | optimized geometry

Space-group type   C2/c
Final energy   -4.60 eV per atom

Cell and atoms, written as POSCAR:
```
PrNd6HoEr2
1.0
9.238 -1.983 -2.058
0.841 8.690 -1.981
0.841 -2.302 8.611
Nd Pr Ho Er
12 2 2 4
Direct
0.815 0.440 0.993
0.117 0.706 0.485
0.685 0.007 0.560
0.185 0.560 0.007
0.315 0.993 0.440
0.945 0.886 0.241
0.617 0.485 0.706
0.445 0.241 0.886
0.055 0.114 0.759
0.883 0.294 0.515
0.555 0.759 0.114
0.383 0.515 0.294
0.250 0.970 0.030
0.750 0.030 0.970
0.250 0.411 0.589
0.750 0.589 0.411
0.951 0.700 0.797
0.049 0.300 0.203
0.549 0.203 0.300
0.451 0.797 0.700
```

[6]
Pr2Nd5HoEr | PBE-GGA | optimized geometry

Space-group type   I4/mcm
Final energy   -4.46 eV per atom

Cell and atoms, written as POSCAR:
```
Pr2Nd5HoEr
1.0
8.627 0.000 0.000
0.000 8.627 0.000
-4.314 -4.314 8.454
Nd Pr Er Ho
10 4 2 2
Direct
0.000 0.000 0.000
0.425 0.364 0.289
0.575 0.636 0.711
0.500 0.500 0.000
0.364 0.864 0.289
0.864 0.925 0.289
0.925 0.425 0.289
0.136 0.075 0.711
0.075 0.575 0.711
0.636 0.136 0.711
0.122 0.378 0.000
0.622 0.122 0.000
0.878 0.622 0.000
0.378 0.878 0.000
0.750 0.250 0.500
0.250 0.750 0.500
0.250 0.250 0.500
0.750 0.750 0.500
```

Values of volume, in order: 33.23 32.65 33.20 32.20 34.29 34.96, all in Å³/atom.